Here is crystalline MgSc2S4 at its relaxed geometry from Alexandria via LeMat-Bulk. Energies are from GGA-PBE.

a b c (Å): 6.273 6.273 12.703
angles (deg): 90.00 90.00 146.36
Atoms (fractional coordinates):
1 Mg 0.112 0.888 0.750
2 Mg 0.888 0.112 0.250
3 Sc 0.366 0.634 0.572
4 Sc 0.366 0.634 0.928
5 Sc 0.634 0.366 0.072
6 Sc 0.634 0.366 0.428
7 S 0.000 0.000 0.000
8 S 0.000 0.000 0.500
9 S 0.274 0.726 0.118
10 S 0.274 0.726 0.382
11 S 0.466 0.534 0.750
12 S 0.534 0.466 0.250
13 S 0.726 0.274 0.618
14 S 0.726 0.274 0.882

Properties
- E_form (uncorrected) (eV per atom) = -1.71
- size of the total moment (μB/f.u.) = 0.0
- energy relative to the lowest polymorph listed for this composition (kcal/mol of atoms) = 1.85